(1)
InBr2Cl GGA-PBEsol optimized geometry; E = -3.089 eV per atom; theoretical density = 4.3 g/cm³; M_tot = 0.0 μB per formula unit; excess energy over the best structure of this formula in the dataset = 0.00 eV per formula unit; symmetry = No. 5; formation energy without anion corrections = -906 meV per atom
1.0
3.289 -5.806 0.000
3.289 5.806 0.000
-2.138 0.000 6.330
In Br Cl
2 4 2
Cartesian
0.000 0.000 0.000
3.289 -1.939 0.000
0.991 1.920 1.562
1.130 -1.850 1.571
3.449 1.920 4.769
3.310 -1.850 4.759
-0.013 -0.168 4.922
4.453 -0.168 1.409

(2)
Na6Si2Se7 GGA-PBEsol optimized geometry; E = -4.032 eV per atom; theoretical density = 3.3 g/cm³; M_tot = 0.0 μB per formula unit; symmetry = No. 15; formation energy without anion corrections = -909 meV per atom
1.0
4.644 -5.390 0.000
4.644 5.390 0.000
-3.909 0.000 15.223
Na Si Se
12 4 14
Cartesian
0.000 0.000 0.000
-1.955 0.000 7.612
-1.247 2.361 13.070
1.712 4.484 11.417
1.844 1.571 6.483
0.708 -2.361 5.458
5.489 1.571 1.129
-0.110 -1.571 14.094
4.671 2.361 9.765
3.535 -1.571 8.740
3.667 -4.484 3.806
6.626 -2.361 2.153
0.688 0.859 9.737
2.643 -0.859 2.126
2.736 0.859 13.097
4.691 -0.859 5.486
-1.453 1.338 10.334
1.802 2.748 9.201
2.723 0.718 0.478
0.501 -1.338 2.722
1.622 2.748 13.634
0.768 -0.718 8.089
3.667 0.405 3.806
1.712 -0.405 11.417
4.611 0.718 7.134
3.757 -2.748 1.589
4.878 1.338 12.501
2.656 -0.718 14.745
3.577 -2.748 6.022
6.833 -1.338 4.889

Look up the E of the first one.
-3.089 eV per atom